The following is a PBE calculation of a geometry-optimized CdAs2SeN structure, from the Alexandria database.

Geometry as extended XYZ:
```
5
Lattice="-0.810 -4.560 2.241 4.278 -1.836 -2.189 2.712 1.503 4.040" Properties=species:S:1:pos:R:3 pbc="T T T"
As 2.139 -0.918 -1.095
As -0.405 -2.280 1.120
N 3.090 -2.446 2.045
Se 1.356 0.752 2.020
Cd 0.000 0.000 0.000
```

Summary:
**Formation energy (no corrections)**: 204.7 kJ/mol of atoms
**Energy above the lowest structure with this stoichiometry**: 1.376 eV/atom
**Magnetic moment**: 0.00 μB per cell
**Crystal system**: tetragonal